This record from the Alexandria database describes a relaxed Pm12HoEr5 crystal. The functional is PBE-GGA.

Output
DOS(E_F), states/eV/atom: 1.190
Energy of formation, eV/atom: 0.0094
Space group: C2/m, No. 12

Lattice parameters (Å, degrees): 6.2529 6.2529 17.6803 93.35 93.35 120.02
Last column: nearest neighbours and their distance in Å.
Positions (direct):
Pm  0.0545  0.3881  0.1648  2 Er 3.57, 1 Ho 3.57, 9 Pm 3.61-3.65
Pm  0.1114  0.1114  0.3355  3 Er 3.56, 9 Pm 3.61-3.65
Pm  0.2219  0.5553  0.6645  3 Er 3.56, 9 Pm 3.61-3.65
Pm  0.2790  0.2790  0.8352  2 Er 3.57, 1 Ho 3.57, 9 Pm 3.61-3.65
Pm  0.3881  0.0545  0.1648  2 Er 3.57, 1 Ho 3.57, 9 Pm 3.61-3.65
Pm  0.4447  0.7781  0.3355  3 Er 3.56, 9 Pm 3.61-3.65
Pm  0.5553  0.2219  0.6645  3 Er 3.56, 9 Pm 3.61-3.65
Pm  0.6119  0.9455  0.8352  2 Er 3.57, 1 Ho 3.57, 9 Pm 3.61-3.65
Pm  0.7210  0.7210  0.1648  2 Er 3.57, 1 Ho 3.57, 9 Pm 3.61-3.65
Pm  0.7781  0.4447  0.3355  3 Er 3.56, 9 Pm 3.61-3.65
Pm  0.8886  0.8886  0.6645  3 Er 3.56, 9 Pm 3.61-3.65
Pm  0.9455  0.6119  0.8352  2 Er 3.57, 1 Ho 3.57, 9 Pm 3.61-3.65
Ho  0.0000  0.0000  0.0000  6 Pm 3.57, 6 Er 3.61
Er  0.1667  0.8333  0.5000  6 Pm 3.56, 6 Er 3.61
Er  0.3333  0.6667  0.0000  6 Pm 3.57, 3 Er 3.61, 3 Ho 3.61
Er  0.5000  0.5000  0.5000  6 Pm 3.56, 6 Er 3.61
Er  0.6667  0.3333  0.0000  6 Pm 3.57, 3 Er 3.61, 3 Ho 3.61
Er  0.8333  0.1667  0.5000  6 Pm 3.56, 6 Er 3.61